Record 1
A relaxed structure of U2Mn3Fe. Source: the Alexandria database, functional GGA-PBE.

Lattice parameters (Å, degrees): 5.0480 5.0480 7.9457 90.00 90.00 120.00
Closest atoms and distances in Å follow each position.
Atoms (fractional coordinates):
1 U 0.3333 0.6667 0.0768  1 U 2.75, 9 Mn 2.87-2.97, 3 Fe 2.98
2 U 0.3333 0.6667 0.4232  1 U 2.75, 9 Mn 2.87-2.97, 3 Fe 2.98
3 U 0.6667 0.3333 0.5768  1 U 2.75, 9 Mn 2.87-2.97, 3 Fe 2.98
4 U 0.6667 0.3333 0.9232  1 U 2.75, 9 Mn 2.87-2.97, 3 Fe 2.98
5 Mn 0.1674 0.3347 0.7500  2 Fe 2.47, 4 Mn 2.51-2.53
6 Mn 0.1674 0.8326 0.7500  2 Fe 2.47, 4 Mn 2.51-2.53
7 Mn 0.3347 0.1674 0.2500  2 Fe 2.47, 4 Mn 2.51-2.53
8 Mn 0.6653 0.8326 0.7500  2 Fe 2.47, 4 Mn 2.51-2.53
9 Mn 0.8326 0.1674 0.2500  2 Fe 2.47, 4 Mn 2.51-2.53
10 Mn 0.8326 0.6653 0.2500  2 Fe 2.47, 4 Mn 2.51-2.53
11 Fe 0.0000 0.0000 0.0000  6 Mn 2.47
12 Fe 0.0000 0.0000 0.5000  6 Mn 2.47

Output
- Spin magnetization: 0.473 μB per atom
- Crystal system: hexagonal
- Fermi-level density of states: 9.30 states/eV/f.u.
- Formation enthalpy at 0 K: -2.2 kJ/mol of atoms

Record 2
A relaxed structure of Sm4GeSb3. Source: the Alexandria database, functional GGA-PBE.

Lattice parameters (Å, degrees): 6.2484 6.2484 6.2484 90.00 90.00 90.00
Closest atoms and distances in Å follow each position.
Atoms (fractional coordinates):
1 Sm 0.0000 0.0000 0.0000  6 Sb 3.12
2 Sm 0.0000 0.5000 0.5000  2 Ge 3.12, 4 Sb 3.12
3 Sm 0.5000 0.0000 0.5000  2 Ge 3.12, 4 Sb 3.12
4 Sm 0.5000 0.5000 0.0000  2 Ge 3.12, 4 Sb 3.12
5 Ge 0.5000 0.5000 0.5000  6 Sm 3.12
6 Sb 0.0000 0.0000 0.5000  6 Sm 3.12
7 Sb 0.0000 0.5000 0.0000  6 Sm 3.12
8 Sb 0.5000 0.0000 0.0000  6 Sm 3.12

Output
- Formation energy (no corrections): -1.025 eV per atom
- Spin magnetization: 0.000 μB per atom
- Crystal system: cubic
- Fermi-level density of states: 5.59 states/eV/f.u.

Record 3
A relaxed structure of La2NpPaP4. Source: the Alexandria database, functional GGA-PBE.

Lattice parameters (Å, degrees): 7.0819 4.0987 7.1858 90.00 109.34 90.00
Closest atoms and distances in Å follow each position.
Atoms (fractional coordinates):
1 La 0.0000 0.0000 0.0000  6 P 3.00-3.01
2 La 0.5000 0.5000 0.0000  6 P 2.99-3.00
3 Np 0.0000 0.5000 0.5000  6 P 2.83-2.84
4 Pa 0.5000 0.0000 0.5000  6 P 2.81-2.82
5 P 0.2439 0.0000 0.7272  1 Pa 2.81, 2 Np 2.83, 3 La 3.00-3.01
6 P 0.2597 0.5000 0.2721  2 Pa 2.82, 1 Np 2.84, 3 La 2.99-3.00
7 P 0.7403 0.5000 0.7279  2 Pa 2.82, 1 Np 2.84, 3 La 2.99-3.00
8 P 0.7561 0.0000 0.2728  1 Pa 2.81, 2 Np 2.83, 3 La 3.00-3.01

Output
- Spin magnetization: 0.532 μB per atom
- Crystal system: monoclinic
- Fermi-level density of states: 13.82 states/eV/f.u.
- Formation enthalpy at 0 K: -127.2 kJ/mol of atoms

Record 4
A relaxed structure of Tm5NiPb3. Source: the Alexandria database, functional GGA-PBE.

Lattice parameters (Å, degrees): 9.0719 9.0719 6.5975 90.00 90.00 120.00
Closest atoms and distances in Å follow each position.
Atoms (fractional coordinates):
1 Tm 0.0000 0.2376 0.2500  2 Ni 2.71
2 Tm 0.0000 0.7624 0.7500  2 Ni 2.71
3 Tm 0.2376 0.0000 0.2500  2 Ni 2.71
4 Tm 0.2376 0.2376 0.7500  2 Ni 2.71
5 Tm 0.3333 0.6667 0.0000  6 Pb 3.23, 2 Tm 3.30
6 Tm 0.3333 0.6667 0.5000  6 Pb 3.23, 2 Tm 3.30
7 Tm 0.6667 0.3333 0.0000  6 Pb 3.23, 2 Tm 3.30
8 Tm 0.6667 0.3333 0.5000  6 Pb 3.23, 2 Tm 3.30
9 Tm 0.7624 0.0000 0.7500  2 Ni 2.71
10 Tm 0.7624 0.7624 0.2500  2 Ni 2.71
11 Ni 0.0000 0.0000 0.0000  6 Tm 2.71
12 Ni 0.0000 0.0000 0.5000  6 Tm 2.71
13 Pb 0.0000 0.3994 0.7500  7 Tm 3.16-3.29
14 Pb 0.0000 0.6006 0.2500  7 Tm 3.16-3.29
15 Pb 0.3994 0.0000 0.7500  7 Tm 3.16-3.29
16 Pb 0.3994 0.3994 0.2500  7 Tm 3.16-3.29
17 Pb 0.6006 0.0000 0.2500  7 Tm 3.16-3.29
18 Pb 0.6006 0.6006 0.7500  7 Tm 3.16-3.29

Output
- Spin magnetization: 0.000 μB per atom
- Crystal system: hexagonal
- Fermi-level density of states: 4.29 states/eV/f.u.
- Formation enthalpy at 0 K: -48.7 kJ/mol of atoms

Record 5
A relaxed structure of CrSbAs2. Source: the Alexandria database, functional GGA-PBE.

Lattice parameters (Å, degrees): 6.8056 6.8056 6.8056 150.61 147.88 44.09
Closest atoms and distances in Å follow each position.
Atoms (fractional coordinates):
1 Cr 0.0000 0.0000 0.0000  6 As 2.54-2.58
2 Sb 0.7977 0.2977 0.5000  6 As 2.89-3.18, 2 Cr 3.08
3 As 0.1477 0.6477 0.5000  2 Cr 2.54
4 As 0.4720 0.4720 0.0000  4 Cr 2.58

Output
- Formation energy (no corrections): 0.184 eV per atom
- Spin magnetization: 0.582 μB per atom
- Crystal system: orthorhombic
- Fermi-level density of states: 2.31 states/eV/f.u.

Record 6
A relaxed structure of Tb2Co2Ru. Source: the Alexandria database, functional GGA-PBE.

Lattice parameters (Å, degrees): 6.5370 6.5370 4.2300 90.00 90.00 90.00
Closest atoms and distances in Å follow each position.
Atoms (fractional coordinates):
1 Tb 0.1845 0.3155 0.0000  6 Co 2.77-2.94
2 Tb 0.3155 0.8155 0.0000  6 Co 2.77-2.94
3 Tb 0.6845 0.1845 0.0000  6 Co 2.77-2.94
4 Tb 0.8155 0.6845 0.0000  6 Co 2.77-2.94
5 Co 0.1221 0.6221 0.5000  1 Co 2.26
6 Co 0.3779 0.1221 0.5000  1 Co 2.26
7 Co 0.6221 0.8779 0.5000  1 Co 2.26
8 Co 0.8779 0.3779 0.5000  1 Co 2.26
9 Ru 0.0000 0.0000 0.5000  4 Co 2.60
10 Ru 0.5000 0.5000 0.5000  4 Co 2.60

Output
- Spin magnetization: 0.249 μB per atom
- Crystal system: tetragonal
- Fermi-level density of states: 7.08 states/eV/f.u.
- Formation enthalpy at 0 K: -8.5 kJ/mol of atoms

Record 7
A relaxed structure of TbScO3. Source: the Alexandria database, functional GGA-PBE.

Lattice parameters (Å, degrees): 6.3863 3.2001 11.8122 90.00 90.00 90.00
Closest atoms and distances in Å follow each position.
Atoms (fractional coordinates):
1 Tb 0.1334 0.2500 0.1998  7 O 2.35-2.46
2 Tb 0.3666 0.7500 0.6998  7 O 2.35-2.46
3 Tb 0.6334 0.2500 0.3002  7 O 2.35-2.46
4 Tb 0.8666 0.7500 0.8002  7 O 2.35-2.46
5 Sc 0.2020 0.7500 0.4564  6 O 2.12-2.25
6 Sc 0.2980 0.2500 0.9564  6 O 2.12-2.25
7 Sc 0.7020 0.7500 0.0436  6 O 2.12-2.25
8 Sc 0.7980 0.2500 0.5436  6 O 2.12-2.25
9 O 0.0167 0.2500 0.3944  3 Sc 2.12-2.25
10 O 0.1594 0.2500 0.7929  1 Sc 2.12, 2 Tb 2.35
11 O 0.1619 0.7500 0.0548  2 Sc 2.16, 2 Tb 2.35
12 O 0.3381 0.2500 0.5548  2 Sc 2.16, 2 Tb 2.35
13 O 0.3406 0.7500 0.2929  1 Sc 2.12, 2 Tb 2.35
14 O 0.4833 0.7500 0.8944  3 Sc 2.12-2.25
15 O 0.5167 0.2500 0.1056  3 Sc 2.12-2.25
16 O 0.6594 0.2500 0.7071  1 Sc 2.12, 2 Tb 2.35
17 O 0.6619 0.7500 0.4452  2 Sc 2.16, 2 Tb 2.35
18 O 0.8381 0.2500 0.9452  2 Sc 2.16, 2 Tb 2.35
19 O 0.8406 0.7500 0.2071  1 Sc 2.12, 2 Tb 2.35
20 O 0.9833 0.7500 0.6056  3 Sc 2.12-2.25

Output
- Formation energy (no corrections): -3.439 eV per atom
- Spin magnetization: 0.000 μB per atom
- Crystal system: orthorhombic
- Fermi-level density of states: 0.00 states/eV/f.u.

Record 8
A relaxed structure of Zr2SiSb. Source: the Alexandria database, functional GGA-PBE.

Lattice parameters (Å, degrees): 4.8872 4.8872 4.8872 60.00 60.00 60.00
Closest atoms and distances in Å follow each position.
Atoms (fractional coordinates):
1 Zr 0.2500 0.2500 0.2500  4 Sb 2.99, 4 Si 2.99
2 Zr 0.7500 0.7500 0.7500  4 Si 2.99, 4 Sb 2.99
3 Si 0.0000 0.0000 0.0000  8 Zr 2.99
4 Sb 0.5000 0.5000 0.5000  8 Zr 2.99

Output
- Formation energy (no corrections): -0.342 eV per atom
- Spin magnetization: 0.000 μB per atom
- Crystal system: cubic
- Fermi-level density of states: 3.56 states/eV/f.u.

Record 9
A relaxed structure of Np3Zn5Se12. Source: the Alexandria database, functional GGA-PBE.

Lattice parameters (Å, degrees): 13.6211 13.6211 13.6211 109.47 109.47 109.47
Closest atoms and distances in Å follow each position.
Atoms (fractional coordinates):
1 Np 0.1250 0.2500 0.3750  8 Se 2.96-2.99
2 Np 0.1250 0.3750 0.7500  8 Se 2.96-2.99
3 Np 0.2500 0.3750 0.1250  8 Se 2.96-2.99
4 Np 0.2500 0.8750 0.6250  8 Se 2.96-2.99
5 Np 0.3750 0.1250 0.2500  8 Se 2.96-2.99
6 Np 0.3750 0.7500 0.1250  8 Se 2.96-2.99
7 Np 0.6250 0.2500 0.8750  8 Se 2.96-2.99
8 Np 0.6250 0.8750 0.7500  8 Se 2.96-2.99
9 Np 0.7500 0.1250 0.3750  8 Se 2.96-2.99
10 Np 0.7500 0.6250 0.8750  8 Se 2.96-2.99
11 Np 0.8750 0.6250 0.2500  8 Se 2.96-2.99
12 Np 0.8750 0.7500 0.6250  8 Se 2.96-2.99
13 Zn 0.0000 0.0000 0.0000  6 Se 2.63
14 Zn 0.0000 0.0000 0.5000  6 Se 2.63
15 Zn 0.0000 0.5000 0.0000  6 Se 2.63
16 Zn 0.0000 0.5000 0.5000  6 Se 2.63
17 Zn 0.1250 0.7500 0.8750  4 Se 2.44
18 Zn 0.1250 0.8750 0.2500  4 Se 2.44
19 Zn 0.2500 0.1250 0.8750  4 Se 2.44
20 Zn 0.2500 0.6250 0.3750  4 Se 2.44
21 Zn 0.3750 0.2500 0.6250  4 Se 2.44
22 Zn 0.3750 0.6250 0.7500  4 Se 2.44
23 Zn 0.5000 0.0000 0.0000  6 Se 2.63
24 Zn 0.5000 0.0000 0.5000  6 Se 2.63
25 Zn 0.5000 0.5000 0.0000  6 Se 2.63
26 Zn 0.5000 0.5000 0.5000  6 Se 2.63
27 Zn 0.6250 0.3750 0.2500  4 Se 2.44
28 Zn 0.6250 0.7500 0.3750  4 Se 2.44
29 Zn 0.7500 0.3750 0.6250  4 Se 2.44
30 Zn 0.7500 0.8750 0.1250  4 Se 2.44
31 Zn 0.8750 0.1250 0.7500  4 Se 2.44
32 Zn 0.8750 0.2500 0.1250  4 Se 2.44
33 Se 0.0412 0.2172 0.1274  2 Zn 2.44-2.63
34 Se 0.0412 0.3241 0.9138  2 Zn 2.44-2.63
35 Se 0.0862 0.6274 0.4103  2 Zn 2.44-2.63
36 Se 0.0862 0.9588 0.6759  2 Zn 2.44-2.63
37 Se 0.0897 0.7172 0.6759  2 Zn 2.44-2.63
38 Se 0.0897 0.8726 0.4138  2 Zn 2.44-2.63
39 Se 0.1274 0.0412 0.2172  2 Zn 2.44-2.63
40 Se 0.1274 0.5862 0.9103  2 Zn 2.44-2.63
41 Se 0.1759 0.2172 0.5897  2 Zn 2.44-2.63
42 Se 0.1759 0.4588 0.5862  2 Zn 2.44-2.63
43 Se 0.2172 0.1274 0.0412  2 Zn 2.44-2.63
44 Se 0.2172 0.5897 0.1759  2 Zn 2.44-2.63
45 Se 0.2828 0.3241 0.9103  2 Zn 2.44-2.63
46 Se 0.2828 0.4588 0.3726  2 Zn 2.44-2.63
47 Se 0.3241 0.9103 0.2828  2 Zn 2.44-2.63
48 Se 0.3241 0.9138 0.0412  2 Zn 2.44-2.63
49 Se 0.3726 0.2828 0.4588  2 Zn 2.44-2.63
50 Se 0.3726 0.5897 0.9138  2 Zn 2.44-2.63
51 Se 0.4103 0.0862 0.6274  2 Zn 2.44-2.63
52 Se 0.4103 0.8241 0.7828  2 Zn 2.44-2.63
53 Se 0.4138 0.0897 0.8726  2 Zn 2.44-2.63
54 Se 0.4138 0.8241 0.5412  2 Zn 2.44-2.63
55 Se 0.4588 0.3726 0.2828  2 Zn 2.44-2.63
56 Se 0.4588 0.5862 0.1759  2 Zn 2.44-2.63
57 Se 0.5412 0.4138 0.8241  2 Zn 2.44-2.63
58 Se 0.5412 0.6274 0.7172  2 Zn 2.44-2.63
59 Se 0.5862 0.1759 0.4588  2 Zn 2.44-2.63
60 Se 0.5862 0.9103 0.1274  2 Zn 2.44-2.63
61 Se 0.5897 0.1759 0.2172  2 Zn 2.44-2.63
62 Se 0.5897 0.9138 0.3726  2 Zn 2.44-2.63
63 Se 0.6274 0.4103 0.0862  2 Zn 2.44-2.63
64 Se 0.6274 0.7172 0.5412  2 Zn 2.44-2.63
65 Se 0.6759 0.0862 0.9588  2 Zn 2.44-2.63
66 Se 0.6759 0.0897 0.7172  2 Zn 2.44-2.63
67 Se 0.7172 0.5412 0.6274  2 Zn 2.44-2.63
68 Se 0.7172 0.6759 0.0897  2 Zn 2.44-2.63
69 Se 0.7828 0.4103 0.8241  2 Zn 2.44-2.63
70 Se 0.7828 0.8726 0.9588  2 Zn 2.44-2.63
71 Se 0.8241 0.5412 0.4138  2 Zn 2.44-2.63
72 Se 0.8241 0.7828 0.4103  2 Zn 2.44-2.63
73 Se 0.8726 0.4138 0.0897  2 Zn 2.44-2.63
74 Se 0.8726 0.9588 0.7828  2 Zn 2.44-2.63
75 Se 0.9103 0.1274 0.5862  2 Zn 2.44-2.63
76 Se 0.9103 0.2828 0.3241  2 Zn 2.44-2.63
77 Se 0.9138 0.0412 0.3241  2 Zn 2.44-2.63
78 Se 0.9138 0.3726 0.5897  2 Zn 2.44-2.63
79 Se 0.9588 0.6759 0.0862  2 Zn 2.44-2.63
80 Se 0.9588 0.7828 0.8726  2 Zn 2.44-2.63

Output
- Formation energy (no corrections): -0.663 eV per atom
- Spin magnetization: 0.374 μB per atom
- Crystal system: cubic
- Fermi-level density of states: 38.48 states/eV/f.u.

Record 10
A relaxed structure of Tb2MgGe4Rh3. Source: the Alexandria database, functional GGA-PBE.

Lattice parameters (Å, degrees): 4.2027 4.2027 10.5427 90.00 90.00 90.00
Closest atoms and distances in Å follow each position.
Atoms (fractional coordinates):
1 Tb 0.0000 0.5000 0.2360  6 Rh 3.20-3.49, 8 Ge 3.21-3.26, 2 Mg 3.49
2 Tb 0.5000 0.0000 0.7640  6 Rh 3.20-3.49, 8 Ge 3.21-3.26, 2 Mg 3.49
3 Mg 0.0000 0.0000 0.5000  4 Ge 2.62
4 Ge 0.0000 0.0000 0.0000  4 Rh 2.47
5 Ge 0.0000 0.5000 0.6479  3 Rh 2.42-2.62, 2 Mg 2.62
6 Ge 0.5000 0.0000 0.3521  3 Rh 2.42-2.62, 2 Mg 2.62
7 Ge 0.5000 0.5000 0.0000  4 Rh 2.47
8 Rh 0.0000 0.5000 0.8775  5 Ge 2.42-2.47
9 Rh 0.5000 0.0000 0.1225  5 Ge 2.42-2.47
10 Rh 0.5000 0.5000 0.5000  4 Ge 2.62

Output
- Spin magnetization: 0.000 μB per atom
- Crystal system: tetragonal
- Fermi-level density of states: 5.26 states/eV/f.u.
- Formation enthalpy at 0 K: -72.0 kJ/mol of atoms

Record 11
A relaxed structure of ZrBeCl2. Source: the Alexandria database, functional GGA-PBE.

Lattice parameters (Å, degrees): 7.5942 7.5942 4.3583 97.54 97.54 23.98
Closest atoms and distances in Å follow each position.
Atoms (fractional coordinates):
1 Zr 0.0000 0.0000 0.0000  4 Cl 2.61, 4 Be 2.69
2 Be 0.5000 0.5000 0.5000  2 Cl 2.55, 4 Zr 2.69
3 Cl 0.3644 0.3644 0.8027  1 Be 2.55, 2 Zr 2.61
4 Cl 0.6355 0.6355 0.1973  1 Be 2.55, 2 Zr 2.61

Output
- Formation energy (no corrections): -0.624 eV per atom
- Spin magnetization: 0.000 μB per atom
- Crystal system: monoclinic
- Fermi-level density of states: 0.13 states/eV/f.u.

Record 12
A relaxed structure of Hf3BeH. Source: the Alexandria database, functional GGA-PBE.

Lattice parameters (Å, degrees): 4.2782 4.2782 4.2782 90.00 90.00 90.00
Closest atoms and distances in Å follow each position.
Atoms (fractional coordinates):
1 Hf 0.0000 0.0000 0.5000  2 H 2.14
2 Hf 0.0000 0.5000 0.0000  2 H 2.14
3 Hf 0.5000 0.0000 0.0000  2 H 2.14
4 Be 0.5000 0.5000 0.5000  12 Hf 3.03
5 H 0.0000 0.0000 0.0000  6 Hf 2.14

Output
- Spin magnetization: 0.000 μB per atom
- Crystal system: cubic
- Fermi-level density of states: 1.69 states/eV/f.u.
- Uncorrected energy: -37.163 eV per cell

Record 13
A relaxed structure of NdSm14Y. Source: the Alexandria database, functional GGA-PBE.

Lattice parameters (Å, degrees): 11.7405 7.2879 7.2879 60.01 90.00 90.00
Closest atoms and distances in Å follow each position.
Atoms (fractional coordinates):
1 Nd 0.0000 0.0000 0.0000  10 Sm 3.61-3.65, 2 Y 3.64
2 Sm 0.0000 0.0002 0.4993  8 Sm 3.60-3.65, 2 Nd 3.64-3.65, 2 Y 3.64-3.65
3 Sm 0.0000 0.4993 0.0002  8 Sm 3.60-3.65, 2 Nd 3.64-3.65, 2 Y 3.64-3.65
4 Sm 0.2493 0.6668 0.6668  11 Sm 3.60-3.64, 1 Y 3.61
5 Sm 0.2500 0.1668 0.6666  1 Y 3.61, 10 Sm 3.61-3.65, 1 Nd 3.61
6 Sm 0.2500 0.6666 0.1668  1 Y 3.61, 10 Sm 3.61-3.65, 1 Nd 3.61
7 Sm 0.2508 0.1669 0.1669  11 Sm 3.60-3.65, 1 Nd 3.62
8 Sm 0.5000 0.3337 0.3337  12 Sm 3.60-3.64
9 Sm 0.5000 0.3340 0.8335  12 Sm 3.60-3.65
10 Sm 0.5000 0.8335 0.3340  12 Sm 3.60-3.65
11 Sm 0.5000 0.8336 0.8336  12 Sm 3.61-3.65
12 Sm 0.7492 0.1669 0.1669  11 Sm 3.60-3.65, 1 Nd 3.62
13 Sm 0.7500 0.1668 0.6666  1 Y 3.61, 10 Sm 3.61-3.65, 1 Nd 3.61
14 Sm 0.7500 0.6666 0.1668  1 Y 3.61, 10 Sm 3.61-3.65, 1 Nd 3.61
15 Sm 0.7507 0.6668 0.6668  11 Sm 3.60-3.64, 1 Y 3.61
16 Y 0.0000 0.4997 0.4997  10 Sm 3.61-3.65, 2 Nd 3.64

Output
- Spin magnetization: 0.000 μB per atom
- Crystal system: orthorhombic
- Fermi-level density of states: 16.21 states/eV/f.u.
- Formation enthalpy at 0 K: 0.0 kJ/mol of atoms

Record 14
A relaxed structure of Sr2CrRu. Source: the Alexandria database, functional GGA-PBE.

Lattice parameters (Å, degrees): 10.0878 10.0878 10.0878 20.95 20.95 20.95
Closest atoms and distances in Å follow each position.
Atoms (fractional coordinates):
1 Sr 0.2375 0.2375 0.2375  3 Ru 2.98
2 Sr 0.7625 0.7625 0.7625  3 Ru 2.98
3 Cr 0.0000 0.0000 0.0000  6 Sr 3.54, 6 Cr 3.67
4 Ru 0.5000 0.5000 0.5000  6 Sr 2.98

Output
- Spin magnetization: 1.285 μB per atom
- Crystal system: trigonal
- Fermi-level density of states: 2.55 states/eV/f.u.
- Formation enthalpy at 0 K: 91.2 kJ/mol of atoms